DFT (PBE-GGA) results for Sm3Zr3Te2Pd after structural relaxation.

Lattice parameters (Å, degrees): 8.3471 8.3471 3.7475 90.00 90.00 120.00
With the nearest neighbours (Å) after each atom.
Space group P-62m (No. 189)
Inequivalent atoms, fractional coordinates:
1 Sm 0.0000 0.2543 0.0000 (multiplicity 3)  2 Pd 2.83, 2 Te 3.16
2 Zr 0.0000 0.5876 0.5000 (multiplicity 3)  4 Te 3.14, 2 Sm 3.35, 1 Pd 3.44
3 Te 0.3333 0.6667 0.0000 (multiplicity 2)  6 Zr 3.14, 3 Sm 3.16
4 Pd 0.0000 0.0000 0.5000 (multiplicity 1)  6 Sm 2.83

Values from the calculation:
* VASP energy: -6.22 eV per atom
* crystal system: hexagonal